Computed, not measured: crystalline Na2CoHgF6 at its relaxed geometry at the GGA+U level of DFT.

```
10
Lattice="-3.801 -0.511 4.718 -1.982 4.986 2.861 -5.802 1.728 -0.569" Properties=species:S:1:pos:R:3 pbc="T T T"
Na -2.896 1.551 1.752
Na -8.689 4.652 5.257
Co 0.000 0.000 0.000
Hg -5.793 3.101 3.505
F -5.797 2.372 1.341
F -6.850 5.019 2.860
F -5.788 3.830 5.668
F -3.769 4.102 3.163
F -7.816 2.100 3.847
F -4.735 1.183 4.149
```

Values from the calculation:
DOS(E_F) = 1.187 states/eV per atom
M_tot = 0.301 μB per atom
offset from the most stable computed form = 2.88 kcal/mol of atoms
total DFT energy (no corrections) = -38.586 eV/cell

Computed, not measured: crystalline NaCoHg2F8 at its relaxed geometry at the GGA+U level of DFT.

```
12
Lattice="6.186 0.616 0.000 -2.192 5.818 0.000 -1.997 -3.217 4.931" Properties=species:S:1:pos:R:3 pbc="T T T"
Na 0.000 0.000 0.000
Co -1.096 2.909 2.466
Hg 3.093 0.308 2.466
Hg 1.997 3.217 0.000
F 1.389 -0.808 1.607
F 0.255 2.480 1.092
F 0.113 -1.889 3.839
F 2.849 -1.714 3.324
F 3.740 3.953 1.092
F 4.797 1.424 1.607
F 3.338 2.330 3.324
F -0.113 1.889 3.839
```

Values from the calculation:
M_tot = 0.342 μB per atom
total DFT energy (no corrections) = -41.682 eV/cell

Computed, not measured: crystalline Na2CoHgF6 at its relaxed geometry at the GGA+U level of DFT.

```
10
Lattice="-0.295 0.909 4.384 -1.453 -5.726 1.089 5.815 -1.348 0.671" Properties=species:S:1:pos:R:3 pbc="T T T"
Na -1.015 -1.975 4.825
Na 2.620 0.213 4.616
Co -0.198 0.610 2.944
Hg 2.005 -2.995 3.495
F 0.806 -0.995 3.598
F 3.900 -1.712 3.955
F 2.147 -3.433 1.382
F -0.060 0.186 0.897
F 3.127 -4.758 4.535
F 0.033 -4.041 4.178
```

Values from the calculation:
M_tot = 0.300 μB per atom
offset from the most stable computed form = 0.00 kcal/mol of atoms
total DFT energy (no corrections) = -39.833 eV/cell